The following is a GGA+U calculation of an optimized crystal structure of CrHgBO4, from Alexandria. Values from VASP.

```
&SYSTEM
  ibrav = 0, nat = 14, ntyp = 4
/
ATOMIC_SPECIES
Cr 52.00 Cr.upf
Hg 200.59 Hg.upf
B 10.81 B.upf
O 16.00 O.upf
CELL_PARAMETERS angstrom
-3.0937 4.4508 3.8971
3.0937 -4.4508 3.8971
3.0937 4.4508 -3.8971
ATOMIC_POSITIONS angstrom
Cr -1.5468 2.2254 1.9486
Cr 1.5468 2.2254 1.9486
Hg 0.0000 0.0000 0.0000
Hg 0.0000 4.4508 0.0000
B 3.0937 2.2254 -0.2191
B 0.0000 2.2254 4.1162
O 1.8250 2.2254 -0.1418
O 4.3624 2.2254 -0.1418
O 0.0000 0.9303 1.8190
O 3.0937 0.9303 2.0781
O 0.0000 3.5204 1.8190
O 3.0937 3.5204 2.0781
O -1.2687 2.2254 4.0389
O 1.2687 2.2254 4.0389
```

- total moment (μB/f.u.) = 3.0
- electronic total energy (eV/f.u.) = -44.49